! PBE Tl2TcPt2, relaxed; values from VASP
! - VASP energy (eV/atom) = -4.83
! - energy of formation (eV per formula unit) = 3.04
&SYSTEM
  ibrav = 0, nat = 10, ntyp = 3
/
ATOMIC_SPECIES
Tl 204.38 Tl.upf
Tc 98.00 Tc.upf
Pt 195.08 Pt.upf
ATOMIC_POSITIONS angstrom
Tl 1.2211 2.8254 0.0000
Tl 2.8254 6.8720 0.0000
Tl 5.2676 1.2211 0.0000
Tl 6.8720 5.2676 0.0000
Tc 0.0000 0.0000 0.0000
Tc 4.0465 4.0465 0.0000
Pt 1.2047 5.2513 1.4724
Pt 2.8418 1.2047 1.4724
Pt 5.2513 6.8883 1.4724
Pt 6.8883 2.8418 1.4724
CELL_PARAMETERS angstrom
8.0931 0.0000 0.0000
0.0000 8.0931 0.0000
0.0000 0.0000 2.9448